Density functional theory data (PBE-GGA) for a relaxed LaZn2MoPd crystal.

Calculated values
The electronic total energy comes out at -20.2 eV for the cell shown. The total magnetic moment is 0.00 μB/f.u. Its crystal system is tetragonal. The symmetry is P4/mmm, No. 123.

Lattice parameters (Å, degrees): 4.957 4.957 5.065 90.00 90.00 90.00
Element x y z (fractional)
Mo1 0.000 0.000 0.000
Pd1 0.500 0.500 0.500
Zn1 0.000 0.500 0.000
La1 0.000 0.000 0.500
Zn2 0.500 0.000 0.000


Density functional theory data (PBE-GGA) for a relaxed Y2NiW crystal.

Calculated values
The total magnetic moment is 0.00 μB/f.u. Its crystal system is monoclinic. The symmetry is Pm, No. 6. The calculation puts the energy above the most stable polymorph in this dataset at 0 meV/atom.

Lattice parameters (Å, degrees): 4.024 4.304 5.660 67.64 90.00 90.00
Element x y z (fractional)
Y1 0.000 0.973 0.927
Ni1 0.000 0.685 0.506
Y2 0.500 0.273 0.328
W1 0.500 0.568 0.739


Density functional theory data (PBE-GGA) for a relaxed MgPd6Au2 crystal.

Calculated values
The total magnetic moment is 0.00 μB/f.u. Its crystal system is tetragonal. The symmetry is P4_2/mnm, No. 136. The calculation puts the energy above the most stable polymorph in this dataset at 0 meV/atom.

Lattice parameters (Å, degrees): 4.022 8.466 8.466 90.00 90.00 90.00
Element x y z (fractional)
Au1 0.000 0.333 0.833
Pd1 0.500 0.500 0.333
Pd2 0.000 0.333 0.500
Pd3 0.500 0.167 0.000
Pd4 0.500 0.165 0.666
Pd5 0.000 0.000 0.833
Pd6 0.500 0.835 0.334
Pd7 0.000 0.335 0.166
Mg1 0.000 0.000 0.500
Au2 0.000 0.667 0.167
Pd8 0.000 0.000 0.167
Au3 0.500 0.167 0.333
Pd9 0.000 0.667 0.500
Au4 0.500 0.833 0.667
Mg2 0.500 0.500 0.000
Pd10 0.500 0.833 0.000
Pd11 0.500 0.500 0.667
Pd12 0.000 0.665 0.834


Density functional theory data (PBE-GGA) for a relaxed RbCdPBr2 crystal.

Calculated values
The total magnetic moment is 2.00 μB/f.u. Its crystal system is tetragonal. The symmetry is P4/mmm, No. 123. The raw formation energy is -234 kJ/mol of formula units.

Lattice parameters (Å, degrees): 5.895 5.081 5.895 90.00 90.00 90.00
Element x y z (fractional)
Cd1 0.000 0.000 0.000
P1 0.000 0.500 0.000
Br1 0.500 0.000 0.000
Br2 0.000 0.000 0.500
Rb1 0.500 0.500 0.500


Density functional theory data (PBE-GGA) for a relaxed HgAsCl3 crystal.

Calculated values
The total magnetic moment is 0.00 μB/f.u. Its crystal system is monoclinic. The symmetry is P2_1/c, No. 14. The calculation puts the energy above the most stable polymorph in this dataset at 4 meV/atom. The raw formation energy is -265 kJ/mol of formula units.

Lattice parameters (Å, degrees): 10.289 6.822 11.067 90.00 97.25 90.00
Element x y z (fractional)
Hg1 0.403 0.813 0.724
Cl1 0.152 0.829 0.983
Cl2 0.262 0.902 0.375
Cl3 0.238 0.402 0.125
Cl4 0.531 0.262 0.911
Cl5 0.031 0.238 0.411
Cl6 0.848 0.171 0.017
Hg2 0.097 0.313 0.776
Hg3 0.903 0.687 0.224
Cl7 0.348 0.329 0.517
As1 0.702 0.409 0.020
As2 0.202 0.091 0.520
Cl8 0.738 0.098 0.625
Cl9 0.762 0.598 0.875
Cl10 0.469 0.738 0.089
As3 0.298 0.591 0.980
Cl11 0.652 0.671 0.483
Hg4 0.597 0.187 0.276
Cl12 0.969 0.762 0.589
As4 0.798 0.909 0.480


Density functional theory data (PBE-GGA) for a relaxed CaCo2Pb2 crystal.

Calculated values
The total magnetic moment is 1.69 μB/f.u. Its crystal system is tetragonal. The symmetry is I4/mmm, No. 139. The calculation puts the energy above the most stable polymorph in this dataset at 17 meV/atom.

Lattice parameters (Å, degrees): 4.714 4.714 5.908 66.49 66.49 90.00
Element x y z (fractional)
Pb1 0.250 0.750 0.500
Pb2 0.750 0.250 0.500
Co1 0.612 0.612 0.775
Ca1 0.000 0.000 0.000
Co2 0.388 0.388 0.225


Density functional theory data (PBE-GGA) for a relaxed ScTc2Ge2 crystal.

Calculated values
The total magnetic moment is 0.00 μB/f.u. Its crystal system is orthorhombic. The symmetry is Amm2, No. 38. The calculation puts the energy above the most stable polymorph in this dataset at 64 meV/atom.

Lattice parameters (Å, degrees): 4.494 3.152 6.417 90.00 110.50 90.00
Element x y z (fractional)
Ge1 0.379 0.800 0.756
Ge2 0.610 0.300 0.222
Tc1 0.782 0.800 0.564
Tc2 0.209 0.300 0.418
Sc1 0.020 0.800 0.040


Density functional theory data (PBE-GGA) for a relaxed ZrHgTeO6 crystal.

Calculated values
The total magnetic moment is 0.00 μB/f.u. Its crystal system is trigonal. The symmetry is P-31c, No. 163. The raw formation energy is -1340 kJ/mol of formula units.

Lattice parameters (Å, degrees): 5.493 5.493 9.777 90.00 90.00 120.00
Element x y z (fractional)
Te1 0.667 0.333 0.750
Te2 0.333 0.667 0.250
O1 0.617 0.977 0.360
O2 0.360 0.977 0.140
O3 0.640 0.023 0.860
O4 0.977 0.617 0.860
O5 0.977 0.360 0.640
O6 0.640 0.617 0.640
Zr1 0.667 0.333 0.250
Zr2 0.333 0.667 0.750
Hg1 0.000 0.000 0.500
O7 0.023 0.640 0.360
O8 0.617 0.640 0.140
O9 0.383 0.023 0.640
O10 0.023 0.383 0.140
O11 0.360 0.383 0.360
O12 0.383 0.360 0.860
Hg2 0.000 0.000 0.000


Density functional theory data (PBE-GGA) for a relaxed Nd2BeSiN crystal.

Calculated values
The total magnetic moment is 0.00 μB/f.u. Its crystal system is monoclinic. The symmetry is P2_1/m, No. 11. The raw formation energy is -452 kJ/mol of formula units.

Lattice parameters (Å, degrees): 3.843 6.343 8.172 108.28 90.00 90.00
Element x y z (fractional)
N1 0.250 0.818 0.830
N2 0.750 0.182 0.170
Be1 0.750 0.450 0.243
Be2 0.250 0.550 0.757
Si1 0.750 0.337 0.706
Nd1 0.250 0.207 0.392
Nd2 0.750 0.793 0.608
Nd3 0.250 0.215 0.962
Nd4 0.750 0.785 0.038
Si2 0.250 0.663 0.294